Here is Mn2TlAu after structural relaxation from Alexandria. Energies are from PBE.

Cell: 3.2881 3.2881 6.8860 Å, 90.00 90.00 90.00°
Fractional coordinates of all 4 atoms:
Mn1 0.0000 0.0000 0.2215
Mn2 0.0000 0.0000 0.7785
Tl1 0.5000 0.5000 0.5000
Au1 0.5000 0.5000 0.0000

Values from the calculation:
DFT formation energy = 1.00 eV/f.u.
N(E_F) = 2.0 states/eV per cell
relative energy among the computed polymorphs = 0.0 meV/atom
E = -5.75 eV/atom